## CsMnICl2 (PBE)

Data for a relaxed CsMnICl2 crystal.

The volume is 31.83 A^3/atom. For the magnetic moment, the calculation gives 5.000 μB per formula unit. The calculation puts the energy relative to the elements, uncorrected at -1.217 eV/atom. The total energy comes out at -4.27 eV per atom.

It has space group P4/mmm (No. 123), with a = 5.242 Å, b = 5.242 Å, c = 5.793 Å, α = 90.00°, β = 90.00° and γ = 90.00°. Symmetry generates all atoms from Cs at (0.000, 0.000, 0.000), Mn at (0.500, 0.500, 0.500), I at (0.500, 0.500, 0.000) and Cl at (0.000, 0.500, 0.500).


## Cs2MnI2Cl2 (PBE)

Data for a relaxed Cs2MnI2Cl2 crystal.

The volume is 40.61 A^3/atom. For the magnetic moment, the calculation gives 5.000 μB per formula unit. For the density of states at the Fermi level, the calculation gives 0.000 states/eV/f.u. The calculation puts the energy relative to the elements, uncorrected at -1.324 eV/atom. The total energy comes out at -3.85 eV per atom.

It has space group C2/m (No. 12), with a = 15.746 Å, b = 4.705 Å, c = 8.731 Å, α = 90.00°, β = 118.50° and γ = 90.00°. Symmetry generates all atoms from Cs at (0.167, 0.000, 0.185), Mn at (0.000, 0.000, 0.500), I at (0.037, 0.500, 0.767) and Cl at (0.165, 0.000, 0.580).


## Cs2MnI2Cl4 (PBE)

Data for a relaxed Cs2MnI2Cl4 crystal.

The volume is 35.97 A^3/atom. For the magnetic moment, the calculation gives 3.012 μB per formula unit. The calculation puts the energy relative to the elements, uncorrected at -1.252 eV/atom. The total energy comes out at -3.63 eV per atom.

It has space group I4/mmm (No. 139), with a = 8.008 Å, b = 8.008 Å, c = 10.094 Å, α = 90.00°, β = 90.00° and γ = 90.00°. Symmetry generates all atoms from Cs at (0.000, 0.500, 0.250), Mn at (0.000, 0.000, 0.000), I at (0.000, 0.000, 0.272) and Cl at (0.202, 0.202, 0.000).


## Cs2MoICl6 (PBE)

Data for a relaxed Cs2MoICl6 crystal.

The volume is 37.28 A^3/atom. For the magnetic moment, the calculation gives 0.996 μB per formula unit. For the density of states at the Fermi level, the calculation gives 5.749 states/eV/f.u. The calculation puts the energy relative to the elements, uncorrected at -1.228 eV/atom. The total energy comes out at -3.74 eV per atom.

It has space group P1 (No. 1), with a = 7.060 Å, b = 7.087 Å, c = 8.946 Å, α = 73.19°, β = 73.28° and γ = 62.20°. Symmetry generates all atoms from Cs at (0.000, 0.000, 0.000), Cs at (0.403, 0.403, 0.472), Mo at (0.700, 0.704, 0.736), I at (0.973, 0.430, 0.236), Cl at (0.019, 0.566, 0.838), Cl at (0.382, 0.852, 0.620), Cl at (0.531, 0.543, 0.976), Cl at (0.552, 0.020, 0.852), Cl at (0.837, 0.385, 0.634) and Cl at (0.861, 0.872, 0.496).


What is the formula in the second record?
Cs2MnI2Cl2